# 1
A plane-wave DFT calculation with PBE was carried out for a geometry-optimized KNiSn3 structure.

Values from the calculation:
- Formation enthalpy at 0 K: -16.0 kJ/mol of atoms
- Total energy: -3.943 eV/atom
- Energy above the lowest structure with this stoichiometry: 0.0 meV per atom
- Volume: 25.26 Å³ per atom

Cell: 4.479 9.084 12.417 Å, 90.00 90.00 90.00°
Sites, in units of the cell vectors:
K 0.750 0.832 0.004
K 0.250 0.668 0.504
K 0.750 0.332 0.496
K 0.250 0.168 0.996
Ni 0.250 0.074 0.647
Ni 0.250 0.574 0.853
Ni 0.750 0.426 0.147
Ni 0.750 0.926 0.353
Sn 0.250 0.569 0.076
Sn 0.750 0.431 0.924
Sn 0.250 0.069 0.424
Sn 0.750 0.931 0.576
Sn 0.250 0.361 0.710
Sn 0.750 0.139 0.210
Sn 0.250 0.861 0.790
Sn 0.750 0.624 0.723
Sn 0.250 0.376 0.277
Sn 0.750 0.124 0.777
Sn 0.750 0.639 0.290
Sn 0.250 0.876 0.223

***

# 2
A plane-wave DFT calculation with PBE was carried out for a geometry-optimized Pm2InRuO8 structure.

Values from the calculation:
- Energy relative to the elements, uncorrected: -1.89 eV per atom
- Total energy: -6.992 eV/atom
- Volume: 13.97 Å³ per atom

Cell: 5.074 4.660 7.114 Å, 88.17 88.46 93.93°
Each line ends with the local moment (μB).
Sites, in units of the cell vectors:
Pm 0.466 0.415 0.754  0.01
Pm 0.534 0.585 0.246  0.01
In 0.000 0.000 0.500  0.01
Ru 0.000 0.000 0.000  0.65
O 0.129 0.797 0.222  0.04
O 0.760 0.694 0.956  -0.02
O 0.749 0.135 0.185  0.09
O 0.871 0.203 0.778  0.04
O 0.240 0.306 0.044  -0.02
O 0.251 0.865 0.815  0.09
O 0.698 0.701 0.529  0.03
O 0.302 0.299 0.471  0.03

***

# 3
A plane-wave DFT calculation with PBE was carried out for a geometry-optimized Li6MgZn3 structure.

Values from the calculation:
- Formation enthalpy at 0 K: -7.2 kJ/mol of atoms
- Total energy: -1.765 eV/atom
- Energy above the lowest structure with this stoichiometry: 9.3 meV per atom
- Volume: 17.55 Å³ per atom

Cell: 7.419 7.037 7.037 Å, 107.15 90.00 90.00°
Sites, in units of the cell vectors:
Li 0.165 0.801 0.546
Li 0.665 0.546 0.801
Li 0.316 0.646 0.950
Li 0.816 0.950 0.646
Li 0.180 0.037 0.963
Li 0.444 0.219 0.781
Li 0.944 0.781 0.219
Li 0.680 0.963 0.037
Li 0.316 0.050 0.354
Li 0.816 0.354 0.050
Li 0.165 0.454 0.199
Li 0.665 0.199 0.454
Mg 0.066 0.303 0.697
Mg 0.566 0.697 0.303
Zn 0.478 0.837 0.708
Zn 0.978 0.708 0.837
Zn 0.375 0.464 0.536
Zn 0.875 0.536 0.464
Zn 0.978 0.163 0.292
Zn 0.478 0.292 0.163

***

# 4
A plane-wave DFT calculation with PBE was carried out for a geometry-optimized PmURh4 structure.

Values from the calculation:
- Formation enthalpy at 0 K: -49.2 kJ/mol of atoms
- Total energy: -8.084 eV/atom
- Energy above the lowest structure with this stoichiometry: 5.2 meV per atom
- Volume: 18.82 Å³ per atom

Cell: 3.897 7.149 8.107 Å, 90.00 90.00 90.00°
Sites, in units of the cell vectors:
Pm 0.000 0.675 0.750
Pm 0.000 0.325 0.250
U 0.000 0.237 0.750
U 0.000 0.763 0.250
Rh 0.000 0.000 0.500
Rh 0.000 0.000 0.000
Rh 0.500 0.974 0.750
Rh 0.500 0.026 0.250
Rh 0.500 0.686 0.040
Rh 0.500 0.314 0.960
Rh 0.500 0.686 0.460
Rh 0.500 0.314 0.540

***

# 5
A plane-wave DFT calculation with PBE was carried out for a geometry-optimized ScZnN structure.

Values from the calculation:
- Energy relative to the elements, uncorrected: -0.82 eV per atom
- Total energy: -6.128 eV/atom
- Energy above the lowest structure with this stoichiometry: 323.4 meV per atom
- Volume: 14.61 Å³ per atom

Cell: 5.357 3.199 11.053 Å, 90.00 112.21 90.00°
Sites, in units of the cell vectors:
Sc 0.067 0.000 0.594
Sc 0.067 0.500 0.094
Sc 0.670 0.000 0.803
Sc 0.670 0.500 0.303
Zn 0.558 0.000 0.058
Zn 0.558 0.500 0.558
Zn 0.257 0.000 0.366
Zn 0.257 0.500 0.866
N 0.915 0.000 0.396
N 0.915 0.500 0.896
N 0.333 0.000 0.190
N 0.333 0.500 0.690

***

# 6
A plane-wave DFT calculation with PBE was carried out for a geometry-optimized GdThNi2 structure.

Values from the calculation:
- Formation enthalpy at 0 K: -30.4 kJ/mol of atoms
- Total energy: -8.581 eV/atom
- Energy above the lowest structure with this stoichiometry: 0.5 meV per atom
- Volume: 20.87 Å³ per atom

Cell: 4.787 4.787 5.034 Å, 61.61 61.61 60.00°
Each line ends with the local moment (μB).
Sites, in units of the cell vectors:
Ni 0.774 0.774 0.679  0.00
Ni 0.226 0.226 0.321  0.00
Gd 0.500 0.500 0.500  7.00
Th 0.000 0.000 0.000  0.01

***

# 7
A plane-wave DFT calculation with PBE was carried out for a geometry-optimized TaCdTeO6 structure.

Values from the calculation:
- Energy relative to the elements, uncorrected: -1.65 eV per atom
- Total energy: -6.724 eV/atom
- Volume: 13.76 Å³ per atom

Cell: 5.420 5.420 9.737 Å, 90.00 90.00 120.00°
Sites, in units of the cell vectors:
Ta 0.667 0.333 0.250
Ta 0.333 0.667 0.750
Cd 0.000 0.000 0.000
Cd 0.000 0.000 0.500
Te 0.333 0.667 0.250
Te 0.667 0.333 0.750
O 0.635 0.629 0.138
O 0.994 0.365 0.138
O 0.365 0.994 0.638
O 0.006 0.635 0.862
O 0.371 0.365 0.362
O 0.994 0.629 0.362
O 0.629 0.994 0.862
O 0.635 0.006 0.362
O 0.006 0.371 0.638
O 0.371 0.006 0.138
O 0.629 0.635 0.638
O 0.365 0.371 0.862

***

# 8
A plane-wave DFT calculation with PBE was carried out for a geometry-optimized HfAgHg2 structure.

Values from the calculation:
- Formation enthalpy at 0 K: 2.1 kJ/mol of atoms
- Total energy: -3.331 eV/atom
- Volume: 20.54 Å³ per atom

Cell: 3.297 3.297 7.554 Å, 90.00 90.00 90.00°
Sites, in units of the cell vectors:
Hf 0.500 0.500 0.500
Hg 0.000 0.000 0.755
Hg 0.000 0.000 0.245
Ag 0.500 0.500 0.000